No. 1
This record from the Alexandria database describes a PBEsol-optimized structure of Li2MoPb. The functional is SCAN.

Cell lengths 10.436, 2.867, 5.255 Å; angles 90.00, 115.21, 90.00 degrees
Space group Cm (No. 8)
Inequivalent atoms, fractional coordinates:
Li: 0.000 0.000 0.000 [2 per cell]
Li: 0.245 0.000 0.932 [2 per cell]
Mo: 0.495 0.000 0.494 [2 per cell]
Pb: 0.246 0.500 0.439 [2 per cell]

Output
Final energy in eV for the cell shown: -228.2
Energy of formation from the pure elements in eV per formula unit: 1.35

No. 2
This record from the Alexandria database describes a PBEsol-optimized structure of LiMoPb. The functional is SCAN.

Cell lengths 6.464, 6.464, 6.464 Å; angles 90.00, 90.00, 90.00 degrees
Space group F-43m (No. 216)
Inequivalent atoms, fractional coordinates:
Li: 0.000 0.000 0.000 [4 per cell]
Mo: 0.250 0.250 0.250 [4 per cell]
Pb: 0.000 0.000 0.500 [4 per cell]

Output
Final energy in eV for the cell shown: -442.8
Energy above the most stable polymorph in this dataset in kcal/mol of atoms: 6.61
Energy of formation from the pure elements in eV per formula unit: 2.34

No. 3
This record from the Alexandria database describes a PBEsol-optimized structure of Li2MoPb. The functional is SCAN.

Cell lengths 6.555, 6.555, 6.555 Å; angles 90.00, 90.00, 90.00 degrees
Space group F-43m (No. 216)
Inequivalent atoms, fractional coordinates:
Li: 0.000 0.000 0.000 [4 per cell]
Li: 0.250 0.250 0.250 [4 per cell]
Mo: 0.000 0.000 0.500 [4 per cell]
Pb: 0.250 0.250 0.750 [4 per cell]

Output
Final energy in eV for the cell shown: -457.5
Energy of formation from the pure elements in eV per formula unit: 1.06

No. 4
This record from the Alexandria database describes a PBEsol-optimized structure of LiMoPb. The functional is SCAN.

Cell lengths 4.5266, 4.5266, 2.9035 Å; angles 90.00, 90.00, 120.00 degrees
Space group P-6m2 (No. 187)
Inequivalent atoms, fractional coordinates:
Li: 0.0000 0.0000 0.0000 [1 per cell]
Mo: 0.3333 0.6667 0.5000 [1 per cell]
Pb: 0.6667 0.3333 0.0000 [1 per cell]

Output
Final energy in eV for the cell shown: -111.6
Energy above the most stable polymorph in this dataset in kcal/mol of atoms: 0.00
Energy of formation from the pure elements in eV per formula unit: 1.48

No. 5
This record from the Alexandria database describes a PBEsol-optimized structure of LiZrMo2Pb. The functional is SCAN.

Cell lengths 5.033, 5.033, 5.314 Å; angles 90.00, 90.00, 90.00 degrees
Space group P4/mmm (No. 123)
Inequivalent atoms, fractional coordinates:
Li: 0.000 0.000 0.000 [1 per cell]
Zr: 0.500 0.500 0.000 [1 per cell]
Mo: 0.000 0.500 0.500 [2 per cell]
Pb: 0.500 0.500 0.500 [1 per cell]

Output
Final energy in eV for the cell shown: -168.6
Energy of formation from the pure elements in eV per formula unit: 10.07

No. 6
This record from the Alexandria database describes a PBEsol-optimized structure of Li3MoPd. The functional is SCAN.

Cell lengths 4.639, 4.639, 4.639 Å; angles 90.00, 90.00, 90.00 degrees
Space group Pm-3m (No. 221)
Inequivalent atoms, fractional coordinates:
Li: 0.000 0.000 0.500 [3 per cell]
Mo: 0.000 0.000 0.000 [1 per cell]
Pd: 0.500 0.500 0.500 [1 per cell]

Output
Final energy in eV for the cell shown: -68.0
Energy of formation from the pure elements in eV per formula unit: 6.79

No. 7
This record from the Alexandria database describes a PBEsol-optimized structure of LiMoPt. The functional is SCAN.

Cell lengths 2.7222, 2.7222, 6.9814 Å; angles 90.00, 90.00, 120.00 degrees
Space group P3m1 (No. 156)
Inequivalent atoms, fractional coordinates:
Li: 0.0000 0.0000 0.0000 [1 per cell]
Mo: 0.6667 0.3333 0.6353 [1 per cell]
Pt: 0.3333 0.6667 0.3153 [1 per cell]

Output
Final energy in eV for the cell shown: -107.5
Energy above the most stable polymorph in this dataset in kcal/mol of atoms: 3.97
Energy of formation from the pure elements in eV per formula unit: 0.00

No. 8
This record from the Alexandria database describes a PBEsol-optimized structure of Li2MoPt. The functional is SCAN.

Cell lengths 2.579, 2.579, 8.580 Å; angles 90.00, 90.00, 90.00 degrees
Space group P4/mmm (No. 123)
Inequivalent atoms, fractional coordinates:
Li: 0.000 0.000 0.224 [2 per cell]
Mo: 0.500 0.500 0.500 [1 per cell]
Pt: 0.500 0.500 0.000 [1 per cell]

Output
Final energy in eV for the cell shown: -110.0
Energy above the most stable polymorph in this dataset in kcal/mol of atoms: 1.54
Energy of formation from the pure elements in eV per formula unit: -0.16